GaHF (GGA-PBE, relaxed); E = -21.47 eV/cell
1.0
3.202 0.000 0.000
-1.580 4.488 0.000
-0.042 -2.106 5.407
Ga H F
2 2 2
Cartesian
-0.001 0.846 1.387
1.581 1.536 4.020
-0.011 2.002 2.881
1.590 0.381 2.526
-0.023 -1.004 4.796
1.602 3.387 0.612